(1)
A plane-wave DFT calculation with GGA-PBE was carried out for an optimized crystal structure of HfNpS3.

Cell: 8.116 3.651 13.645 Å, 90.00 90.00 90.00°
Sites, in units of the cell vectors:
Hf (0.176, 0.250, 0.044)
Hf (0.324, 0.750, 0.544)
Hf (0.676, 0.250, 0.456)
Hf (0.824, 0.750, 0.956)
Np (0.140, 0.750, 0.302)
Np (0.360, 0.250, 0.802)
Np (0.640, 0.750, 0.198)
Np (0.860, 0.250, 0.698)
S (0.011, 0.250, 0.883)
S (0.152, 0.750, 0.700)
S (0.163, 0.250, 0.458)
S (0.337, 0.750, 0.958)
S (0.348, 0.250, 0.200)
S (0.489, 0.750, 0.383)
S (0.511, 0.250, 0.617)
S (0.652, 0.750, 0.800)
S (0.663, 0.250, 0.042)
S (0.837, 0.750, 0.542)
S (0.848, 0.250, 0.300)
S (0.989, 0.750, 0.117)

## Properties
Mass density   8.405 g/cm³
E_form (uncorrected)   -1.456 eV/atom
Total magnetization   4.19 μB per formula unit
N(E_F)   32.0 states/eV/cell
Energy relative to the lowest polymorph listed for this composition   0 meV per atom

(2)
A plane-wave DFT calculation with GGA-PBE was carried out for an optimized crystal structure of Pm6AgPb12.

Cell: 9.362 9.362 9.362 Å, 111.80 111.80 111.80°
Sites, in units of the cell vectors:
Pm (0.074, 0.561, 0.357)
Pm (0.357, 0.074, 0.561)
Pm (0.439, 0.643, 0.926)
Pm (0.561, 0.357, 0.074)
Pm (0.643, 0.926, 0.439)
Pm (0.926, 0.439, 0.643)
Ag (0.000, 0.000, 0.000)
Pb (0.108, 0.188, 0.724)
Pb (0.188, 0.724, 0.108)
Pb (0.190, 0.300, 0.449)
Pb (0.276, 0.892, 0.812)
Pb (0.300, 0.449, 0.190)
Pb (0.449, 0.190, 0.300)
Pb (0.551, 0.810, 0.700)
Pb (0.700, 0.551, 0.810)
Pb (0.724, 0.108, 0.188)
Pb (0.810, 0.700, 0.551)
Pb (0.812, 0.276, 0.892)
Pb (0.892, 0.812, 0.276)

## Properties
Formation energy from the elements   -5.09 eV/f.u.
Mass density   10.081 g/cm³
Total magnetization   0.00 μB per formula unit
N(E_F)   14.4 states/eV/cell

(3)
A plane-wave DFT calculation with GGA-PBE was carried out for an optimized crystal structure of GeSbO2F.

Cell: 4.236 4.236 4.376 Å, 90.00 90.00 90.00°
Sites, in units of the cell vectors:
Ge (0.000, 0.000, 0.000)
Sb (0.500, 0.500, 0.500)
O (0.000, 0.500, 0.500)
O (0.500, 0.000, 0.500)
F (0.500, 0.500, 0.000)

## Properties
Mass density   5.191 g/cm³
E_form (uncorrected)   -0.820 eV/atom
Total magnetization   0.00 μB per formula unit
N(E_F)   2.3 states/eV/cell

(4)
A plane-wave DFT calculation with GGA-PBE was carried out for an optimized crystal structure of Rb2PuPaTe4.

Cell: 7.985 4.570 8.962 Å, 90.00 107.03 90.00°
Sites, in units of the cell vectors:
Rb (0.000, 0.000, 0.000)
Rb (0.500, 0.500, 0.000)
Pu (0.000, 0.500, 0.500)
Pa (0.500, 0.000, 0.500)
Te (0.242, 0.000, 0.702)
Te (0.272, 0.500, 0.298)
Te (0.728, 0.500, 0.702)
Te (0.758, 0.000, 0.298)

## Properties
Mass density   6.140 g/cm³
E_form (uncorrected)   -1.014 eV/atom
Total magnetization   4.54 μB per formula unit
N(E_F)   22.9 states/eV/cell

(5)
A plane-wave DFT calculation with GGA-PBE was carried out for an optimized crystal structure of Tl2NiBr4.

Cell: 7.506 7.506 8.916 Å, 90.00 90.00 90.00°
Sites, in units of the cell vectors:
Tl (0.000, 0.500, 0.250)
Tl (0.000, 0.500, 0.750)
Tl (0.500, 0.000, 0.250)
Tl (0.500, 0.000, 0.750)
Ni (0.000, 0.000, 0.000)
Ni (0.500, 0.500, 0.500)
Br (0.221, 0.221, 0.000)
Br (0.221, 0.779, 0.000)
Br (0.279, 0.279, 0.500)
Br (0.279, 0.721, 0.500)
Br (0.721, 0.279, 0.500)
Br (0.721, 0.721, 0.500)
Br (0.779, 0.221, 0.000)
Br (0.779, 0.779, 0.000)

## Properties
Mass density   5.204 g/cm³
E_form (uncorrected)   -0.603 eV/atom
Total magnetization   0.16 μB per formula unit
N(E_F)   3.5 states/eV/cell

(6)
A plane-wave DFT calculation with GGA-PBE was carried out for an optimized crystal structure of CrPdN2.

Cell: 2.770 2.770 18.738 Å, 90.00 90.00 120.00°
Sites, in units of the cell vectors:
Cr (0.000, 0.000, 0.000)
Cr (0.333, 0.667, 0.667)
Cr (0.667, 0.333, 0.333)
Pd (0.000, 0.000, 0.500)
Pd (0.333, 0.667, 0.167)
Pd (0.667, 0.333, 0.833)
N (0.000, 0.000, 0.393)
N (0.000, 0.000, 0.607)
N (0.333, 0.667, 0.060)
N (0.333, 0.667, 0.273)
N (0.667, 0.333, 0.727)
N (0.667, 0.333, 0.940)

## Properties
Mass density   7.456 g/cm³
E_form (uncorrected)   0.041 eV/atom
Total magnetization   0.00 μB per formula unit
N(E_F)   8.3 states/eV/cell
Energy relative to the lowest polymorph listed for this composition   29 meV per atom